The following is a PBE calculation of a relaxed structure of LaMg2Rh2, from the Alexandria database.

The structure in CIF format:
```
data_LaMg2Rh2
_chemical_formula_sum 'La1 Mg2 Rh2'
_symmetry_space_group_name_H-M 'P 1'
_symmetry_Int_Tables_number 1
_cell_length_a 4.5732
_cell_length_b 4.5732
_cell_length_c 6.1587
_cell_angle_alpha 67.88
_cell_angle_beta 67.88
_cell_angle_gamma 59.61
loop_
_symmetry_equiv_pos_as_xyz
'x,y,z'
loop_
_atom_site_label
_atom_site_type_symbol
_atom_site_fract_x
_atom_site_fract_y
_atom_site_fract_z
La1 La 0.0000 0.5000 0.0000
Rh1 Rh 0.5802 0.0802 0.2552
Rh2 Rh 0.4198 0.9198 0.7448
Mg1 Mg 0.7948 0.2948 0.6184
Mg2 Mg 0.2052 0.7052 0.3816
```

ΔH_f (0 K): -445.8 meV per atom
spin magnetization: 0.000 μB per atom
E above lowest polymorph: 96 meV/atom
space-group type: C2/m

The following is a PBE calculation of a relaxed structure of Tb2PrDy2, from the Alexandria database.

The structure in CIF format:
```
data_Tb2PrDy2
_chemical_formula_sum 'Tb4 Pr2 Dy4'
_symmetry_space_group_name_H-M 'P 1'
_symmetry_Int_Tables_number 1
_cell_length_a 9.4383
_cell_length_b 9.4383
_cell_length_c 3.7341
_cell_angle_alpha 90.00
_cell_angle_beta 90.00
_cell_angle_gamma 90.00
loop_
_symmetry_equiv_pos_as_xyz
'x,y,z'
loop_
_atom_site_label
_atom_site_type_symbol
_atom_site_fract_x
_atom_site_fract_y
_atom_site_fract_z
Pr1 Pr 0.0000 0.0000 0.0000
Pr2 Pr 0.5000 0.5000 0.0000
Tb1 Tb 0.8748 0.3748 0.0000
Tb2 Tb 0.6252 0.8748 0.0000
Tb3 Tb 0.3748 0.1252 0.0000
Tb4 Tb 0.1252 0.6252 0.0000
Dy1 Dy 0.8284 0.6716 0.5000
Dy2 Dy 0.1716 0.3284 0.5000
Dy3 Dy 0.6716 0.1716 0.5000
Dy4 Dy 0.3284 0.8284 0.5000
```

ΔH_f (0 K): 83.7 meV per atom
spin magnetization: 0.000 μB per atom
E above lowest polymorph: 63 meV/atom
space-group type: P4/mbm

The following is a PBE calculation of a relaxed structure of RbIn2HgRu, from the Alexandria database.

The structure in CIF format:
```
data_RbIn2HgRu
_chemical_formula_sum 'Rb1 In2 Hg1 Ru1'
_symmetry_space_group_name_H-M 'P 1'
_symmetry_Int_Tables_number 1
_cell_length_a 5.5207
_cell_length_b 6.1421
_cell_length_c 5.5207
_cell_angle_alpha 90.00
_cell_angle_beta 90.00
_cell_angle_gamma 90.00
loop_
_symmetry_equiv_pos_as_xyz
'x,y,z'
loop_
_atom_site_label
_atom_site_type_symbol
_atom_site_fract_x
_atom_site_fract_y
_atom_site_fract_z
In1 In 0.5000 0.0000 0.0000
In2 In 0.0000 0.0000 0.5000
Ru1 Ru 0.5000 0.5000 0.5000
Rb1 Rb 0.0000 0.5000 0.0000
Hg1 Hg 0.0000 0.0000 0.0000
```

ΔH_f (0 K): 1147.8 meV per atom
spin magnetization: 0.478 μB per atom
E above lowest polymorph: 1206 meV/atom
space-group type: P4/mmm

The following is a PBE calculation of a relaxed structure of MnCrOs2, from the Alexandria database.

The structure in CIF format:
```
data_MnCrOs2
_chemical_formula_sum 'Mn1 Cr1 Os2'
_symmetry_space_group_name_H-M 'P 1'
_symmetry_Int_Tables_number 1
_cell_length_a 4.5272
_cell_length_b 4.5272
_cell_length_c 4.6533
_cell_angle_alpha 79.95
_cell_angle_beta 79.95
_cell_angle_gamma 34.52
loop_
_symmetry_equiv_pos_as_xyz
'x,y,z'
loop_
_atom_site_label
_atom_site_type_symbol
_atom_site_fract_x
_atom_site_fract_y
_atom_site_fract_z
Cr1 Cr 0.2500 0.2500 0.2500
Os1 Os 0.9987 0.9987 0.9999
Os2 Os 0.5013 0.5013 0.5001
Mn1 Mn 0.7500 0.7500 0.7500
```

ΔH_f (0 K): 113.2 meV per atom
spin magnetization: 0.196 μB per atom
space-group type: C2/m

The following is a PBE calculation of a relaxed structure of HoScZn2Ga2, from the Alexandria database.

The structure in CIF format:
```
data_HoScZn2Ga2
_chemical_formula_sum 'Ho1 Sc1 Zn2 Ga2'
_symmetry_space_group_name_H-M 'P 1'
_symmetry_Int_Tables_number 1
_cell_length_a 4.3511
_cell_length_b 4.3511
_cell_length_c 6.8889
_cell_angle_alpha 90.00
_cell_angle_beta 90.00
_cell_angle_gamma 120.00
loop_
_symmetry_equiv_pos_as_xyz
'x,y,z'
loop_
_atom_site_label
_atom_site_type_symbol
_atom_site_fract_x
_atom_site_fract_y
_atom_site_fract_z
Ga1 Ga 0.6667 0.3333 0.7664
Ga2 Ga 0.3333 0.6667 0.2336
Zn1 Zn 0.6667 0.3333 0.2234
Zn2 Zn 0.3333 0.6667 0.7766
Ho1 Ho 0.0000 0.0000 0.5000
Sc1 Sc 0.0000 0.0000 0.0000
```

ΔH_f (0 K): -548.1 meV per atom
spin magnetization: 0.000 μB per atom
space-group type: P-3m1

The following is a PBE calculation of a relaxed structure of SrMgPdW2, from the Alexandria database.

The structure in CIF format:
```
data_SrMgPdW2
_chemical_formula_sum 'Sr1 Mg1 Pd1 W2'
_symmetry_space_group_name_H-M 'P 1'
_symmetry_Int_Tables_number 1
_cell_length_a 4.9331
_cell_length_b 4.9331
_cell_length_c 4.9905
_cell_angle_alpha 90.00
_cell_angle_beta 90.00
_cell_angle_gamma 90.00
loop_
_symmetry_equiv_pos_as_xyz
'x,y,z'
loop_
_atom_site_label
_atom_site_type_symbol
_atom_site_fract_x
_atom_site_fract_y
_atom_site_fract_z
W1 W 0.0000 0.5000 0.0000
W2 W 0.5000 0.0000 0.0000
Mg1 Mg 0.0000 0.0000 0.5000
Pd1 Pd 0.0000 0.0000 0.0000
Sr1 Sr 0.5000 0.5000 0.5000
```

ΔH_f (0 K): 1298.5 meV per atom
spin magnetization: 0.300 μB per atom
space-group type: P4/mmm

The following is a PBE calculation of a relaxed structure of Pm2Be3SnPt4, from the Alexandria database.

The structure in CIF format:
```
data_Pm2Be3SnPt4
_chemical_formula_sum 'Pm2 Be3 Sn1 Pt4'
_symmetry_space_group_name_H-M 'P 1'
_symmetry_Int_Tables_number 1
_cell_length_a 4.1414
_cell_length_b 4.1414
_cell_length_c 10.2057
_cell_angle_alpha 90.00
_cell_angle_beta 90.00
_cell_angle_gamma 90.00
loop_
_symmetry_equiv_pos_as_xyz
'x,y,z'
loop_
_atom_site_label
_atom_site_type_symbol
_atom_site_fract_x
_atom_site_fract_y
_atom_site_fract_z
Pt1 Pt 0.5000 0.0000 0.6603
Pt2 Pt 0.5000 0.5000 0.0000
Pt3 Pt 0.0000 0.0000 0.0000
Pt4 Pt 0.0000 0.5000 0.3397
Be1 Be 0.5000 0.0000 0.8877
Be2 Be 0.0000 0.5000 0.1123
Be3 Be 0.0000 0.0000 0.5000
Sn1 Sn 0.5000 0.5000 0.5000
Pm1 Pm 0.5000 0.0000 0.2366
Pm2 Pm 0.0000 0.5000 0.7634
```

ΔH_f (0 K): -831.0 meV per atom
spin magnetization: 0.000 μB per atom
space-group type: P-4m2

The following is a PBE calculation of a relaxed structure of Hf3Al8W, from the Alexandria database.

The structure in CIF format:
```
data_Hf3Al8W
_chemical_formula_sum 'Hf3 Al8 W1'
_symmetry_space_group_name_H-M 'P 1'
_symmetry_Int_Tables_number 1
_cell_length_a 5.2010
_cell_length_b 5.2010
_cell_length_c 9.0343
_cell_angle_alpha 73.27
_cell_angle_beta 73.27
_cell_angle_gamma 60.00
loop_
_symmetry_equiv_pos_as_xyz
'x,y,z'
loop_
_atom_site_label
_atom_site_type_symbol
_atom_site_fract_x
_atom_site_fract_y
_atom_site_fract_z
Al1 Al 0.9386 0.9386 0.6851
Al2 Al 0.1876 0.1876 0.4371
Al3 Al 0.9357 0.4375 0.1893
Al4 Al 0.4376 0.9386 0.6851
Al5 Al 0.4375 0.9357 0.1893
Al6 Al 0.4375 0.4375 0.1893
Al7 Al 0.9386 0.4376 0.6851
Al8 Al 0.6870 0.6870 0.9390
Hf1 Hf 0.9970 0.9970 0.0090
Hf2 Hf 0.3746 0.3746 0.8761
Hf3 Hf 0.5023 0.5023 0.4932
W1 W 0.8759 0.8759 0.3723
```

ΔH_f (0 K): -289.4 meV per atom
spin magnetization: 0.000 μB per atom
space-group type: R3m